Below is a geometry-optimized SbHOsI2 structure, with properties calculated at the GGA-PBE level.

a = 5.219 Å, b = 5.219 Å, c = 3.783 Å
α = 90.00°, β = 90.00°, γ = 90.00°
Space group P4/mmm (No. 123)
Inequivalent atoms, fractional coordinates:
Sb1 0.000 0.000 0.000 x1
H1 0.000 0.000 0.500 x1
Os1 0.500 0.500 0.000 x1
I1 0.000 0.500 0.500 x2

Volume (Å³/cell): 103
Raw total energy (eV per atom): -3.0148
Crystal system: tetragonal

=====

Below is a geometry-optimized Zr2PtF structure, with properties calculated at the GGA-PBE level.

a = 5.116 Å, b = 5.116 Å, c = 12.872 Å
α = 90.00°, β = 90.00°, γ = 90.00°
Space group I-42d (No. 122)
Inequivalent atoms, fractional coordinates:
Zr1 0.193 0.250 0.125 x8
Pt1 0.000 0.000 0.500 x4
F1 0.000 0.000 0.000 x4

Volume (Å³/cell): 337
Raw total energy (eV per atom): -7.2680
Crystal system: tetragonal
Raw formation energy (eV per atom): -1.02